[1]
Compound: CsPdO3
Source: the Alexandria database
Functional: PBE
Structure: optimized geometry

The structure in POSCAR format:
```
CsPdO3
1.0
4.1865 0.0000 0.0000
0.0000 4.1865 0.0000
0.0000 0.0000 4.1865
Cs Pd O
1 1 3
direct
0.0000 0.0000 0.0000
0.5000 0.5000 0.5000
0.5000 0.5000 0.0000
0.5000 0.0000 0.5000
0.0000 0.5000 0.5000
```

Values from the calculation:
formation energy without anion corrections = -276 meV per atom
magnetic moment = 1.75 μB/f.u.
total energy = -22.3 eV/cell
SG = Pm-3m (221)

***

[2]
Compound: CsWSe2N
Source: the Alexandria database
Functional: PBE
Structure: optimized geometry

The structure in POSCAR format:
```
CsWSe2N
1.0
-5.1307 0.4660 1.2240
-1.2329 -0.0495 -5.1495
-0.3295 -3.9344 0.1167
Cs Se W N
1 2 1 1
direct
0.5000 0.5000 0.5000
0.0000 0.5000 0.0000
0.5000 0.0000 0.0000
0.0000 0.0000 0.0000
0.0000 0.0000 0.5000
```

Values from the calculation:
formation energy without anion corrections = -137 meV per atom
magnetic moment = 0.00 μB/f.u.
total energy = -29.8 eV/cell
SG = P4/mmm (123)

***

[3]
Compound: ZnGaMoIr
Source: the Alexandria database
Functional: PBE
Structure: optimized geometry

The structure in POSCAR format:
```
ZnGaMoIr
1.0
-1.3656 0.3541 2.4483
-0.3893 -4.1980 0.3900
5.0599 -0.3499 1.2845
Mo Ir Zn Ga
1 1 1 1
direct
0.2776 0.5000 0.7724
0.6780 0.0000 0.5650
0.9348 0.0000 0.0821
0.5395 0.5000 0.2816
```

Values from the calculation:
magnetic moment = 0.00 μB/f.u.
total energy = -24.5 eV/cell
energy of formation = -0.1247 eV/atom
SG = Pm (6)

***

[4]
Compound: UInNi4
Source: the Alexandria database
Functional: PBE
Structure: optimized geometry

The structure in POSCAR format:
```
UInNi4
1.0
4.9742 0.0000 0.0000
2.4871 4.3078 0.0000
2.4871 1.4359 4.0615
Ni U In
4 1 1
direct
0.6242 0.6242 0.1273
0.6242 0.1273 0.6242
0.6242 0.6242 0.6242
0.1273 0.6242 0.6242
0.0000 0.0000 0.0000
0.2500 0.2500 0.2500
```

Values from the calculation:
magnetic moment = 0.56 μB/f.u.
total energy = -38.5 eV/cell
energy of formation = -0.2221 eV/atom
SG = F-43m (216)

***

[5]
Compound: LiTb4S5
Source: the Alexandria database
Functional: PBE
Structure: optimized geometry

The structure in POSCAR format:
```
LiTb4S5
1.0
-0.8135 3.8333 -0.0484
-3.2795 1.3286 1.6848
6.4096 3.5432 14.2403
Li Tb S
1 4 5
direct
0.5000 0.5000 0.5000
0.8980 0.8980 0.3060
0.2994 0.2994 0.1018
0.7006 0.7006 0.8982
0.1020 0.1020 0.6940
0.4012 0.4012 0.7965
0.0000 0.0000 0.0000
0.5988 0.5988 0.2035
0.8012 0.8012 0.5964
0.1988 0.1988 0.4036
```

Values from the calculation:
formation energy without anion corrections = -1941 meV per atom
magnetic moment = 0.00 μB/f.u.
total energy = -60.5 eV/cell
SG = R-3m (166)

***

[6]
Compound: Mg2OsPb
Source: the Alexandria database
Functional: PBE
Structure: optimized geometry

The structure in POSCAR format:
```
Mg2OsPb
1.0
5.2918 0.0004 0.0000
2.0693 4.8704 0.0000
-3.6805 -2.4354 2.9198
Mg Os Pb
2 1 1
direct
0.0000 0.0000 0.0000
0.5000 0.5000 0.0000
0.2500 0.7500 0.5000
0.7500 0.2500 0.5000
```

Values from the calculation:
magnetic moment = 0.00 μB/f.u.
total energy = -16.8 eV/cell
energy of formation = 0.3245 eV/atom
SG = I4/mmm (139)

***

magnetic moment of number 3 (ZnGaMoIr)? 0.00 μB/f.u.

***

Which value of magnetic moment does entry 4 give? 0.56 μB/f.u.

***

Number 4 is which compound? UInNi4

***

The highest magnetic moment belongs to which entry? CsPdO3